# 1
DFT (PBE) results for Th5Bi2Os2 after structural relaxation.

Calculated values
Symmetry: No. 64
D(E_F), states/eV per cell: 14.26
Energy of formation, eV/atom: -0.480
Energy, eV/atom: -7.96

Geometry as extended XYZ:
```
18
Lattice="8.0874 0.0000 0.0000 0.0000 7.1322 -3.6665 0.0000 0.1638 9.0889" Properties=species:S:1:pos:R:3 pbc="T T T"
Th 4.0437 3.5661 -1.8332
Th 1.3012 1.7348 6.1771
Th 5.3449 1.9951 1.0786
Th 2.7425 5.3010 4.3439
Th 6.7862 5.5612 -0.7546
Th 2.7425 6.8484 -1.4163
Th 6.7862 4.0138 5.0056
Th 1.3012 3.2822 0.4169
Th 5.3449 0.4477 6.8388
Th 0.0000 0.0000 0.0000
Os 6.9730 2.5460 -1.3088
Os 2.9293 1.0201 -0.5244
Os 5.1582 6.1122 -3.1421
Os 1.1144 4.5862 -2.3576
Bi 4.0437 2.1637 4.2091
Bi 0.0000 5.7299 2.3758
Bi 0.0000 1.5662 3.0466
Bi 4.0437 5.1323 1.2134
```

=====

# 2
DFT (PBE) results for Th5Bi3Os after structural relaxation.

Calculated values
Symmetry: No. 193
D(E_F), states/eV per cell: 18.85
Energy of formation, eV/atom: -0.548
Energy, eV/atom: -7.21

Geometry as extended XYZ:
```
18
Lattice="-0.2776 -5.2445 -3.8896 7.9920 3.0304 -4.6564 0.8020 -5.8058 7.7709" Properties=species:S:1:pos:R:3 pbc="T T T"
Th 1.8735 -0.5744 -2.1044
Th 5.8409 -1.6397 -6.4416
Th 1.9297 -4.6081 -2.1600
Th 0.3988 -8.3277 2.9645
Th 0.1256 -2.7226 0.9168
Th 5.5954 0.0850 -0.5140
Th 5.4565 -2.5372 -2.4588
Th 6.5867 -3.4118 1.3849
Th 3.0599 -5.4827 1.6837
Th 3.1987 -2.8604 3.6285
Bi 5.1079 -5.6111 -1.0344
Bi 3.4085 -2.4087 0.2593
Bi 0.4154 -4.8208 3.7252
Bi 2.9525 -2.7349 -4.7588
Bi 0.1090 -6.2295 0.1561
Bi 4.7619 0.5208 -3.7873
Os 0.0000 0.0000 0.0000
Os -0.1388 -2.6222 -1.9448
```

=====

# 3
DFT (PBE) results for ThBiOs after structural relaxation.

Calculated values
Symmetry: No. 139
D(E_F), states/eV per cell: 3.17
Energy of formation, eV/atom: 0.013
Energy, eV/atom: -7.50

Geometry as extended XYZ:
```
6
Lattice="-0.0959 0.7099 3.4391 -3.2948 -1.2083 0.1575 6.4169 -12.2714 0.9179" Properties=species:S:1:pos:R:3 pbc="T T T"
Th 1.5036 -3.9872 0.8650
Th 1.5226 -8.7826 3.6495
Bi 4.0750 -10.8059 2.3442
Bi -1.0487 -1.9639 2.1703
Os 0.5299 -6.1502 3.0784
Os 2.4963 -6.6196 1.4360
```